# 1
{"formula": "TbIn2Pd", "functional": "PBE", "state": "relaxed", "cell": [[-2.556, -1.657, -1.573], [2.101, -0.780, -2.594], [1.965, -6.360, 3.505]], "species": ["Tb", "Pd", "In", "In"], "fractional_positions": [[0.500, 0.500, 0.500], [0.500, 0.500, 0.000], [0.000, 0.000, 0.793], [0.000, 0.000, 0.207]], "spacegroup": "P4/mmm, No. 123", "crystal_system": "tetragonal", "delta_e_f_ev_per_atom": -0.501}

***

# 2
{"formula": "PmLuCuSb", "functional": "PBE", "state": "relaxed", "cell": [[5.149, 0.000, 0.000], [2.574, 4.459, 0.000], [2.574, 1.486, 4.204]], "species": ["Sb", "Lu", "Cu", "Pm"], "fractional_positions": [[0.000, 0.000, 0.000], [0.250, 0.250, 0.250], [0.500, 0.500, 0.500], [0.750, 0.750, 0.750]], "spacegroup": "F-43m, No. 216", "formation_energy_uncorrected_kj_per_mol_atoms": -41.73, "crystal_system": "cubic"}

***

How do the records compare in ρ? In the order shown, they have 9.3; 8.7 g cm⁻³.